(1)
# La2ZnNi12P3, relaxed, DFT PBE-GGA
# energy of formation from the pure elements = -3.6 kcal/mol of atoms
# E_tot = -99.53 eV per formula unit
data_La2ZnNi12P3
_chemical_formula_sum 'La6 Zn3 Ni36 P9'
_symmetry_space_group_name_H-M 'R -3 m'
_symmetry_Int_Tables_number 166
_symmetry_space_group_name_Hall '-R 3 2"'
_cell_length_a 8.0063
_cell_length_b 8.0063
_cell_length_c 15.3155
_cell_angle_alpha 90.00
_cell_angle_beta 90.00
_cell_angle_gamma 120.00
loop_
_atom_site_label
_atom_site_type_symbol
_atom_site_fract_x
_atom_site_fract_y
_atom_site_fract_z
_atom_site_occupancy
La1 La 0.0000 0.0000 0.1241 1
Zn1 Zn 0.0000 0.0000 0.5000 1
Ni1 Ni 0.0050 0.5025 0.1360 1
Ni2 Ni 0.0487 0.5243 0.3058 1
P1 P 0.0000 0.5000 0.0000 1

***

(2)
# La2ZnNi4P3, relaxed, DFT PBE-GGA
# energy of formation from the pure elements = -20.4 kcal/mol of atoms
# E_tot = -59.31 eV per formula unit
data_La2ZnNi4P3
_chemical_formula_sum 'La2 Zn1 Ni4 P3'
_symmetry_space_group_name_H-M 'P -4 m 2'
_symmetry_Int_Tables_number 115
_cell_length_a 4.078
_cell_length_b 4.078
_cell_length_c 9.483
_cell_angle_alpha 90.00
_cell_angle_beta 90.00
_cell_angle_gamma 90.00
loop_
_symmetry_equiv_pos_as_xyz
'x,y,z'
'y,-x,-z'
'-x,-y,z'
'-y,x,-z'
'-x,y,z'
'-y,-x,-z'
'x,-y,z'
'y,x,-z'
loop_
_atom_site_label
_atom_site_type_symbol
_atom_site_fract_x
_atom_site_fract_y
_atom_site_fract_z
_atom_site_occupancy
La1 La 0.000 0.500 0.243 1
Zn1 Zn 0.000 0.000 0.500 1
Ni1 Ni 0.000 0.000 0.000 1
Ni2 Ni 0.000 0.500 0.628 1
Ni3 Ni 0.500 0.500 0.000 1
P1 P 0.000 0.500 0.873 1
P2 P 0.500 0.500 0.500 1

***

(3)
# LaPaNi17, relaxed, DFT PBE-GGA
# energy of formation from the pure elements = -4.5 kcal/mol of atoms
# E_tot = -116.41 eV per formula unit
data_LaPaNi17
_chemical_formula_sum 'La3 Pa3 Ni51'
_symmetry_space_group_name_H-M 'R 3 m'
_symmetry_Int_Tables_number 160
_symmetry_space_group_name_Hall 'R 3 -2"'
_cell_length_a 8.3191
_cell_length_b 8.3191
_cell_length_c 12.1176
_cell_angle_alpha 90.00
_cell_angle_beta 90.00
_cell_angle_gamma 120.00
loop_
_atom_site_label
_atom_site_type_symbol
_atom_site_fract_x
_atom_site_fract_y
_atom_site_fract_z
_atom_site_occupancy
La1 La 0.0000 0.0000 0.0000 1
Pa1 Pa 0.0000 0.0000 0.6739 1
Ni1 Ni 0.0000 0.0000 0.2437 1
Ni2 Ni 0.0000 0.0000 0.4432 1
Ni3 Ni 0.0014 0.5007 0.8393 1
Ni4 Ni 0.0035 0.2958 0.3397 1
Ni5 Ni 0.0048 0.5024 0.1853 1
Ni6 Ni 0.0052 0.5026 0.4926 1

***

(4)
# LaPaNi2, relaxed, DFT PBE-GGA
# energy of formation from the pure elements = -4.4 kcal/mol of atoms
# E_tot = -26.75 eV per formula unit
# E above lowest polymorph = 1.87 kcal/mol of atoms
data_LaPaNi2
_chemical_formula_sum 'La3 Pa3 Ni6'
_symmetry_space_group_name_H-M 'R -3 m'
_symmetry_Int_Tables_number 166
_symmetry_space_group_name_Hall '-R 3 2"'
_cell_length_a 3.7778
_cell_length_b 3.7778
_cell_length_c 21.5789
_cell_angle_alpha 90.00
_cell_angle_beta 90.00
_cell_angle_gamma 120.00
loop_
_atom_site_label
_atom_site_type_symbol
_atom_site_fract_x
_atom_site_fract_y
_atom_site_fract_z
_atom_site_occupancy
La1 La 0.0000 0.0000 0.0000 1
Pa1 Pa 0.0000 0.0000 0.5000 1
Ni1 Ni 0.0000 0.0000 0.2397 1

***

(5)
# LaPaNi3, relaxed, DFT PBE-GGA
# energy of formation from the pure elements = -7.9 kcal/mol of atoms
# E_tot = -33.47 eV per formula unit
data_LaPaNi3
_chemical_formula_sum 'La4 Pa4 Ni12'
_symmetry_space_group_name_H-M 'C m c m'
_symmetry_Int_Tables_number 63
_symmetry_space_group_name_Hall '-C 2c 2'
_cell_length_a 3.741
_cell_length_b 25.178
_cell_length_c 4.066
_cell_angle_alpha 90.00
_cell_angle_beta 90.00
_cell_angle_gamma 90.00
loop_
_atom_site_label
_atom_site_type_symbol
_atom_site_fract_x
_atom_site_fract_y
_atom_site_fract_z
_atom_site_occupancy
La1 La 0.000 0.071 0.250 1
Pa1 Pa 0.000 0.201 0.750 1
Ni1 Ni 0.000 0.312 0.750 1
Ni2 Ni 0.000 0.375 0.250 1
Ni3 Ni 0.000 0.473 0.250 1

***

(6)
# LaPaNi4, relaxed, DFT PBE-GGA
# energy of formation from the pure elements = -6.5 kcal/mol of atoms
# E_tot = -39.24 eV per formula unit
data_LaPaNi4
_chemical_formula_sum 'La4 Pa4 Ni16'
_symmetry_space_group_name_H-M 'F -4 3 m'
_symmetry_Int_Tables_number 216
_symmetry_space_group_name_Hall 'F -4 2 3'
_cell_length_a 7.232
_cell_length_b 7.232
_cell_length_c 7.232
_cell_angle_alpha 90.00
_cell_angle_beta 90.00
_cell_angle_gamma 90.00
loop_
_atom_site_label
_atom_site_type_symbol
_atom_site_fract_x
_atom_site_fract_y
_atom_site_fract_z
_atom_site_occupancy
La1 La 0.000 0.000 0.000 1
Pa1 Pa 0.250 0.250 0.750 1
Ni1 Ni 0.124 0.124 0.376 1

***

(7)
# LaPaNi2, relaxed, DFT PBE-GGA
# energy of formation from the pure elements = -6.2 kcal/mol of atoms
# E_tot = -27.07 eV per formula unit
# E above lowest polymorph = 0.00 kcal/mol of atoms
data_LaPaNi2
_chemical_formula_sum 'La1 Pa1 Ni2'
_symmetry_space_group_name_H-M 'P 4/m m m'
_symmetry_Int_Tables_number 123
_symmetry_space_group_name_Hall '-P 4 2'
_cell_length_a 3.455
_cell_length_b 3.455
_cell_length_c 7.013
_cell_angle_alpha 90.00
_cell_angle_beta 90.00
_cell_angle_gamma 90.00
loop_
_atom_site_label
_atom_site_type_symbol
_atom_site_fract_x
_atom_site_fract_y
_atom_site_fract_z
_atom_site_occupancy
La1 La 0.000 0.000 0.000 1
Pa1 Pa 0.000 0.000 0.500 1
Ni1 Ni 0.500 0.500 0.311 1

***

(8)
# La2PaNi3Rh12, relaxed, DFT PBE-GGA
# energy of formation from the pure elements = 5.0 kcal/mol of atoms
# E_tot = -121.05 eV per formula unit
data_La2PaNi3Rh12
_chemical_formula_sum 'La6 Pa3 Ni9 Rh36'
_symmetry_space_group_name_H-M 'R -3 m'
_symmetry_Int_Tables_number 166
_symmetry_space_group_name_Hall '-R 3 2"'
_cell_length_a 8.0518
_cell_length_b 8.0518
_cell_length_c 18.2421
_cell_angle_alpha 90.00
_cell_angle_beta 90.00
_cell_angle_gamma 120.00
loop_
_atom_site_label
_atom_site_type_symbol
_atom_site_fract_x
_atom_site_fract_y
_atom_site_fract_z
_atom_site_occupancy
La1 La 0.0000 0.0000 0.1041 1
Pa1 Pa 0.0000 0.0000 0.5000 1
Ni1 Ni 0.0000 0.5000 0.0000 1
Rh1 Rh 0.0152 0.5076 0.3718 1
Rh2 Rh 0.0258 0.5129 0.8678 1

***

(9)
# La2PaNiS5, relaxed, DFT PBE-GGA
# E_tot = -61.63 eV per formula unit
# formation energy without anion corrections = -1762 meV per atom
data_La2PaNiS5
_chemical_formula_sum 'La8 Pa4 Ni4 S20'
_symmetry_space_group_name_H-M 'C m c 21'
_symmetry_Int_Tables_number 36
_cell_length_a 3.895
_cell_length_b 16.490
_cell_length_c 12.224
_cell_angle_alpha 90.00
_cell_angle_beta 90.00
_cell_angle_gamma 90.00
loop_
_symmetry_equiv_pos_as_xyz
'x,y,z'
'-x,-y,z+1/2'
'-x,y,z'
'x,-y,z+1/2'
'x+1/2,y+1/2,z'
'-x+1/2,-y+1/2,z+1/2'
'-x+1/2,y+1/2,z'
'x+1/2,-y+1/2,z+1/2'
loop_
_atom_site_label
_atom_site_type_symbol
_atom_site_fract_x
_atom_site_fract_y
_atom_site_fract_z
_atom_site_occupancy
La1 La 0.000 0.115 0.000 1
La2 La 0.000 0.117 0.351 1
Pa1 Pa 0.000 0.178 0.676 1
Ni1 Ni 0.000 0.440 0.070 1
S1 S 0.000 0.020 0.659 1
S2 S 0.000 0.305 0.335 1
S3 S 0.000 0.310 0.018 1
S4 S 0.000 0.343 0.674 1
S5 S 0.000 0.496 0.407 1

***

(10)
# La2PaNiSe5, relaxed, DFT PBE-GGA
# E_tot = -56.66 eV per formula unit
# formation energy without anion corrections = -1568 meV per atom
data_La2PaNiSe5
_chemical_formula_sum 'La8 Pa4 Ni4 Se20'
_symmetry_space_group_name_H-M 'C m c 21'
_symmetry_Int_Tables_number 36
_cell_length_a 4.032
_cell_length_b 17.415
_cell_length_c 12.665
_cell_angle_alpha 90.00
_cell_angle_beta 90.00
_cell_angle_gamma 90.00
loop_
_symmetry_equiv_pos_as_xyz
'x,y,z'
'-x,-y,z+1/2'
'-x,y,z'
'x,-y,z+1/2'
'x+1/2,y+1/2,z'
'-x+1/2,-y+1/2,z+1/2'
'-x+1/2,y+1/2,z'
'x+1/2,-y+1/2,z+1/2'
loop_
_atom_site_label
_atom_site_type_symbol
_atom_site_fract_x
_atom_site_fract_y
_atom_site_fract_z
_atom_site_occupancy
La1 La 0.000 0.110 0.000 1
La2 La 0.000 0.120 0.352 1
Pa1 Pa 0.000 0.177 0.673 1
Ni1 Ni 0.000 0.434 0.075 1
Se1 Se 0.000 0.020 0.666 1
Se2 Se 0.000 0.306 0.012 1
Se3 Se 0.000 0.308 0.336 1
Se4 Se 0.000 0.343 0.673 1
Se5 Se 0.000 0.499 0.408 1

***

(11)
# LaPaNiSe4, relaxed, DFT PBE-GGA
# E_tot = -43.44 eV per formula unit
# formation energy without anion corrections = -1328 meV per atom
data_LaPaNiSe4
_chemical_formula_sum 'La2 Pa2 Ni2 Se8'
_symmetry_space_group_name_H-M 'P 1 21/m 1'
_symmetry_Int_Tables_number 11
_cell_length_a 6.649
_cell_length_b 6.222
_cell_length_c 8.205
_cell_angle_alpha 90.00
_cell_angle_beta 106.96
_cell_angle_gamma 90.00
loop_
_symmetry_equiv_pos_as_xyz
'x,y,z'
'-x,-y,-z'
'-x,y+1/2,-z'
'x,-y+1/2,z'
loop_
_atom_site_label
_atom_site_type_symbol
_atom_site_fract_x
_atom_site_fract_y
_atom_site_fract_z
_atom_site_occupancy
La1 La 0.245 0.250 0.059 1
Pa1 Pa 0.251 0.250 0.559 1
Ni1 Ni 0.245 0.750 0.328 1
Se1 Se 0.019 0.511 0.737 1
Se2 Se 0.427 0.750 0.120 1
Se3 Se 0.431 0.750 0.610 1

***

(12)
# LaPaSi2Ni2, relaxed, DFT PBE-GGA
# E_tot = -41.26 eV per formula unit
# formation energy without anion corrections = -739 meV per atom
data_LaPaSi2Ni2
_chemical_formula_sum 'La1 Pa1 Si2 Ni2'
_symmetry_space_group_name_H-M 'P -3 m 1'
_symmetry_Int_Tables_number 164
_symmetry_space_group_name_Hall '-P 3 2"'
_cell_length_a 4.1242
_cell_length_b 4.1242
_cell_length_c 7.8027
_cell_angle_alpha 90.00
_cell_angle_beta 90.00
_cell_angle_gamma 120.00
loop_
_atom_site_label
_atom_site_type_symbol
_atom_site_fract_x
_atom_site_fract_y
_atom_site_fract_z
_atom_site_occupancy
La1 La 0.0000 0.0000 0.0000 1
Pa1 Pa 0.0000 0.0000 0.5000 1
Si1 Si 0.3333 0.6667 0.7274 1
Ni1 Ni 0.3333 0.6667 0.2790 1

***

The lowest E_tot belongs to which entry? La2PaNi3Rh12

***

Among the records above, which one has the lowest E_tot? La2PaNi3Rh12